First-principles (GGA-PBE) data for an optimized crystal structure of MgNiAs2, as listed in the Alexandria database.

Results
ΔH_f (0 K) in eV per formula unit: -0.21
DOS(E_F) in states/eV per atom: 0.6269
Space group: C2/m (12)

```
4
Lattice="4.429 -0.018 0.019 -0.933 4.329 0.019 -0.022 -0.027 3.432" Properties=species:S:1:pos:R:3 pbc="T T T"
As 0.000 0.000 0.000
As 1.748 2.156 0.019
Mg 2.204 -0.022 1.725
Ni -0.477 2.151 1.725
```

***

First-principles (GGA-PBE) data for an optimized crystal structure of Tc3AsAu, as listed in the Alexandria database.

Results
ΔH_f (0 K) in eV per formula unit: 11.33
Offset from the most stable computed form in eV per formula unit: 5.68
DOS(E_F) in states/eV per atom: 2.0531
Space group: Pm-3m (221)

```
5
Lattice="-4.608 -1.733 0.825 1.455 -1.754 4.441 -1.252 4.340 2.125" Properties=species:S:1:pos:R:3 pbc="T T T"
As -2.202 0.426 3.695
Au 0.000 0.000 0.000
Tc 0.728 -0.877 2.221
Tc -0.626 2.170 1.062
Tc -2.304 -0.867 0.413
```

***

First-principles (GGA-PBE) data for an optimized crystal structure of Ca4MgW, as listed in the Alexandria database.

Results
ΔH_f (0 K) in eV per formula unit: 6.19
DOS(E_F) in states/eV per atom: 0.5270
Space group: F-43m (216)

```
6
Lattice="0.000 4.556 4.556 4.556 0.000 4.556 4.556 4.556 0.000" Properties=species:S:1:pos:R:3 pbc="T T T"
Ca 3.413 5.699 5.699
Ca 5.699 5.699 3.413
Ca 5.699 3.413 5.699
Ca 3.413 3.413 3.413
Mg 6.834 6.834 6.834
W 0.000 0.000 0.000
```

***

First-principles (GGA-PBE) data for an optimized crystal structure of HfGaN2, as listed in the Alexandria database.

Results
Offset from the most stable computed form in eV per formula unit: 0.00
DOS(E_F) in states/eV per atom: 0.5319
Formation energy without anion corrections in kJ/mol of atoms: -75.6
Space group: R-3m (166)

```
4
Lattice="1.903 0.000 5.956 -0.951 1.648 5.956 -0.951 -1.648 5.956" Properties=species:S:1:pos:R:3 pbc="T T T"
Hf 0.000 0.000 8.935
Ga 0.000 0.000 0.000
N 0.000 0.000 15.995
N 0.000 0.000 1.875
```

***

First-principles (GGA-PBE) data for an optimized crystal structure of Zn2SbTe, as listed in the Alexandria database.

Results
DOS(E_F) in states/eV per atom: 0.5268
Formation energy without anion corrections in kJ/mol of atoms: 23.3
Space group: Fm-3m (225)

```
4
Lattice="0.000 3.560 3.560 3.560 0.000 3.560 3.560 3.560 0.000" Properties=species:S:1:pos:R:3 pbc="T T T"
Sb 0.000 0.000 0.000
Zn 1.780 1.780 1.780
Zn 5.339 5.339 5.339
Te 3.560 3.560 3.560
```

***

First-principles (GGA-PBE) data for an optimized crystal structure of BeTc2PdO, as listed in the Alexandria database.

Results
DOS(E_F) in states/eV per atom: 1.2012
Formation energy without anion corrections in kJ/mol of atoms: 38.5
Space group: P4/mmm (123)

```
5
Lattice="-3.713 -2.112 -2.214 -1.126 -0.643 2.501 -2.381 4.181 0.003" Properties=species:S:1:pos:R:3 pbc="T T T"
O -0.563 -0.321 1.251
Be 0.000 0.000 0.000
Tc -1.190 2.091 0.002
Tc -1.857 -1.056 -1.107
Pd -3.610 0.713 0.146
```

***

First-principles (GGA-PBE) data for an optimized crystal structure of Sm2Ga2Te, as listed in the Alexandria database.

Results
DOS(E_F) in states/eV per atom: 0.2640
Formation energy without anion corrections in kJ/mol of atoms: -99.5
Space group: R-3m (166)

```
5
Lattice="4.067 -0.010 -1.328 -2.250 3.639 -0.029 0.511 0.382 8.451" Properties=species:S:1:pos:R:3 pbc="T T T"
Sm 2.565 1.594 0.949
Sm -0.237 2.417 6.144
Ga 1.328 0.853 4.059
Ga 1.000 3.158 3.035
Te 0.000 0.000 0.000
```

***

First-principles (GGA-PBE) data for an optimized crystal structure of YAl2Os, as listed in the Alexandria database.

Results
ΔH_f (0 K) in eV per formula unit: -1.74
DOS(E_F) in states/eV per atom: 0.4218
Space group: R-3m (166)

```
4
Lattice="4.178 -0.614 0.480 2.597 3.330 0.480 1.652 0.662 5.274" Properties=species:S:1:pos:R:3 pbc="T T T"
Y 2.107 0.845 1.558
Os 6.320 2.534 4.675
Al 1.728 0.693 4.649
Al 4.137 1.659 3.742
```

***

First-principles (GGA-PBE) data for an optimized crystal structure of NaAl2Sn2, as listed in the Alexandria database.

Results
ΔH_f (0 K) in eV per formula unit: 0.05
Offset from the most stable computed form in eV per formula unit: 0.07
DOS(E_F) in states/eV per atom: 0.3289
Space group: I4/mmm (139)

```
5
Lattice="-3.969 0.575 -2.751 -1.181 -4.661 0.730 -5.505 -0.591 3.519" Properties=species:S:1:pos:R:3 pbc="T T T"
Na 0.000 0.000 0.000
Sn -6.024 -1.029 -0.121
Sn -4.630 -3.647 1.619
Al -3.248 -1.709 0.030
Al -7.407 -2.967 1.468
```

***

First-principles (GGA-PBE) data for an optimized crystal structure of Pm2HoTc, as listed in the Alexandria database.

Results
ΔH_f (0 K) in eV per formula unit: 1.46
Offset from the most stable computed form in eV per formula unit: 1.59
DOS(E_F) in states/eV per atom: 1.2668
Space group: R-3m (166)

```
4
Lattice="-0.884 -3.338 -0.365 1.945 -2.107 -1.957 6.428 -4.386 8.033" Properties=species:S:1:pos:R:3 pbc="T T T"
Tc 3.745 -4.916 2.856
Ho 0.000 0.000 0.000
Pm 4.537 -3.586 5.291
Pm 2.952 -6.245 0.420
```

***

First-principles (GGA-PBE) data for an optimized crystal structure of LiPaPb2Se5, as listed in the Alexandria database.

Results
Formation energy without anion corrections in kJ/mol of atoms: -93.1
Space group: Cmc2_1 (36)

```
18
Lattice="-1.232 -3.128 -2.533 8.569 1.942 -3.069 5.236 -9.192 8.805" Properties=species:S:1:pos:R:3 pbc="T T T"
Li 5.416 -10.299 6.586
Li 9.311 -3.858 0.236
Pa 6.586 -6.227 0.989
Pa 3.685 -0.109 -1.657
Pb 9.881 -8.461 2.146
Pb 4.832 -5.841 4.863
Pb 3.043 -2.531 1.646
Pb 6.621 -2.570 -3.544
Se 11.142 -8.877 5.544
Se 7.373 -9.687 4.880
Se 3.660 -8.753 5.532
Se 7.648 -5.930 3.604
Se 9.152 -6.433 -0.004
Se 4.013 -6.031 1.998
Se 6.779 -3.461 0.977
Se 9.260 -2.232 -1.747
Se 4.053 -2.916 -1.868
Se 1.484 -0.543 -0.052
```

***

First-principles (GGA-PBE) data for an optimized crystal structure of Ho, as listed in the Alexandria database.

Results
ΔH_f (0 K) in eV per formula unit: 0.47
Offset from the most stable computed form in eV per formula unit: 0.47
DOS(E_F) in states/eV per atom: 1.6877
Space group: I4_1/amd (141)

```
2
Lattice="4.655 -0.002 0.000 -3.464 3.110 0.000 -0.595 -1.554 4.347" Properties=species:S:1:pos:R:3 pbc="T T T"
Ho -2.896 1.555 3.261
Ho 3.491 -0.002 1.087
```

***

First-principles (GGA-PBE) data for an optimized crystal structure of LiY2H6Ru, as listed in the Alexandria database.

Results
VASP energy in hartree per atom: -0.177
DOS(E_F) in states/eV per atom: 0.3314
Space group: P-3m1 (164)

```
10
Lattice="-0.716 3.857 -3.064 -4.588 -1.434 -0.733 1.037 3.072 3.624" Properties=species:S:1:pos:R:3 pbc="T T T"
Li -0.358 1.928 -1.532
Y -1.009 2.491 1.439
Y -3.258 3.003 -1.613
H -0.973 3.772 -1.293
H -0.452 5.312 0.524
H -2.753 4.593 0.157
H -3.814 0.181 -0.698
H -1.513 0.901 -0.330
H -3.294 1.722 1.119
Ru 0.000 0.000 0.000
```